LiEr2Ga at its PBEsol-relaxed geometry, computed with meta-GGA SCAN.

a b c (Å): 7.0282 7.0282 7.0282
angles (deg): 90.00 90.00 90.00
Space group Fm-3m (No. 225)
Symmetry-distinct sites (fractional):
Li1 0.0000 0.0000 0.0000 (multiplicity 4)
Er1 0.2500 0.2500 0.2500 (multiplicity 8)
Ga1 0.0000 0.0000 0.5000 (multiplicity 4)

## Properties
Magnetization   0.0 μB/f.u.
Final energy   -30.21 eV per atom
Energy relative to the elements   -351 meV per atom



Hf4AlSi at its PBEsol-relaxed geometry, computed with meta-GGA SCAN.

a b c (Å): 6.6085 6.6085 5.1871
angles (deg): 90.00 90.00 90.00
Space group I422 (No. 97)
Symmetry-distinct sites (fractional):
Hf1 0.1540 0.3460 0.2500 (multiplicity 8)
Al1 0.0000 0.0000 0.5000 (multiplicity 2)
Si1 0.0000 0.0000 0.0000 (multiplicity 2)

## Properties
Magnetization   0.0 μB/f.u.
Final energy   -45.26 eV per atom
Formation energy from raw total energies   -0.51 eV/atom



MnFe2Ag at its PBEsol-relaxed geometry, computed with meta-GGA SCAN.

a b c (Å): 2.9825 4.2094 8.1784
angles (deg): 90.00 90.00 90.00
Space group Imm2 (No. 44)
Symmetry-distinct sites (fractional):
Mn1 0.0000 0.0000 0.0000 (multiplicity 2)
Fe1 0.0000 0.0000 0.5314 (multiplicity 2)
Fe2 0.0000 0.5000 0.2525 (multiplicity 2)
Ag1 0.0000 0.5000 0.7673 (multiplicity 2)

## Properties
Magnetization   9.1 μB/f.u.
Final energy   -21.23 eV per atom
Energy relative to the elements   243 meV per atom



Sr2Mg at its PBEsol-relaxed geometry, computed with meta-GGA SCAN.

a b c (Å): 15.8485 15.8485 15.8485
angles (deg): 90.00 90.00 90.00
Space group Fd-3m (No. 227, origin choice 2)
Symmetry-distinct sites (fractional):
Sr1 0.0000 0.0000 0.0000 (multiplicity 16)
Sr2 0.0661 0.3750 0.8750 (multiplicity 48)
Mg1 0.0460 0.0460 0.2040 (multiplicity 32)

## Properties
Magnetization   0.0 μB/f.u.
Final energy   -16.53 eV per atom
Energy relative to the elements   -22 meV per atom



MgCrAu4 at its PBEsol-relaxed geometry, computed with meta-GGA SCAN.

a b c (Å): 7.6235 7.6235 7.6235
angles (deg): 90.00 90.00 90.00
Space group F-43m (No. 216)
Symmetry-distinct sites (fractional):
Mg1 0.0000 0.0000 0.0000 (multiplicity 4)
Cr1 0.2500 0.2500 0.2500 (multiplicity 4)
Au1 0.1249 0.1249 0.6249 (multiplicity 16)

## Properties
Magnetization   4.7 μB/f.u.
Final energy   -50.17 eV per atom
Energy relative to the elements   -170 meV per atom



CrHgRu2 at its PBEsol-relaxed geometry, computed with meta-GGA SCAN.

a b c (Å): 5.4969 7.4400 2.8506
angles (deg): 90.00 90.00 90.00
Space group Cmmm (No. 65)
Symmetry-distinct sites (fractional):
Cr1 0.0000 0.0000 0.0000 (multiplicity 2)
Hg1 0.0000 0.5000 0.0000 (multiplicity 2)
Ru1 0.2500 0.2500 0.5000 (multiplicity 4)

## Properties
Magnetization   1.0 μB/f.u.
Final energy   -38.57 eV per atom
Energy relative to the elements   486 meV per atom



RbInSe2N at its PBEsol-relaxed geometry, computed with meta-GGA SCAN.

a b c (Å): 6.0351 6.0351 5.1733
angles (deg): 90.00 90.00 90.00
Space group P4/mmm (No. 123)
Symmetry-distinct sites (fractional):
Rb1 0.0000 0.0000 0.0000 (multiplicity 1)
In1 0.5000 0.5000 0.5000 (multiplicity 1)
Se1 0.0000 0.5000 0.0000 (multiplicity 2)
N1 0.0000 0.0000 0.5000 (multiplicity 1)

## Properties
Magnetization   5.0 μB/f.u.
Final energy   -19.56 eV per atom
Formation energy from raw total energies   1.16 eV/atom



LiAu5 at its PBEsol-relaxed geometry, computed with meta-GGA SCAN.

a b c (Å): 10.5734 2.8394 6.8385
angles (deg): 90.00 106.12 90.00
Space group Cm (No. 8)
Symmetry-distinct sites (fractional):
Li1 0.0000 0.0000 0.0000 (multiplicity 2)
Au1 0.1093 0.5000 0.7242 (multiplicity 2)
Au2 0.1654 0.5000 0.3242 (multiplicity 2)
Au3 0.2772 0.0000 0.0503 (multiplicity 2)
Au4 0.3405 0.0000 0.6781 (multiplicity 2)
Au5 0.4463 0.5000 0.3813 (multiplicity 2)

## Properties
Magnetization   0.0 μB/f.u.
Final energy   -58.26 eV per atom
Energy relative to the elements   -233 meV per atom



RhAu at its PBEsol-relaxed geometry, computed with meta-GGA SCAN.

a b c (Å): 2.7627 2.7627 4.6282
angles (deg): 90.00 90.00 120.00
Space group P-6m2 (No. 187)
Symmetry-distinct sites (fractional):
Rh1 0.0000 0.0000 0.0000 (multiplicity 1)
Au1 0.3333 0.6667 0.5000 (multiplicity 1)

## Properties
Magnetization   0.9 μB/f.u.
Final energy   -51.22 eV per atom
Energy relative to the elements   242 meV per atom



Re2AgSe at its PBEsol-relaxed geometry, computed with meta-GGA SCAN.

a b c (Å): 3.7878 3.7878 8.8749
angles (deg): 90.00 90.00 90.00
Space group I4/mmm (No. 139)
Symmetry-distinct sites (fractional):
Re1 0.0000 0.5000 0.2500 (multiplicity 4)
Ag1 0.0000 0.0000 0.0000 (multiplicity 2)
Se1 0.0000 0.0000 0.5000 (multiplicity 2)

## Properties
Magnetization   0.0 μB/f.u.
Final energy   -47.21 eV per atom
Formation energy from raw total energies   1.20 eV/atom



BeTl3Se at its PBEsol-relaxed geometry, computed with meta-GGA SCAN.

a b c (Å): 4.9368 4.9368 4.9368
angles (deg): 90.00 90.00 90.00
Space group Pm-3m (No. 221)
Symmetry-distinct sites (fractional):
Be1 0.0000 0.0000 0.0000 (multiplicity 1)
Tl1 0.0000 0.0000 0.5000 (multiplicity 3)
Se1 0.5000 0.5000 0.5000 (multiplicity 1)

## Properties
Magnetization   0.0 μB/f.u.
Final energy   -48.26 eV per atom
Formation energy from raw total energies   0.04 eV/atom



CaIn2Pd2 at its PBEsol-relaxed geometry, computed with meta-GGA SCAN.

a b c (Å): 4.8066 4.8066 9.7031
angles (deg): 90.00 90.00 90.00
Space group I4/mmm (No. 139)
Symmetry-distinct sites (fractional):
Ca1 0.0000 0.0000 0.0000 (multiplicity 2)
In1 0.0000 0.0000 0.3570 (multiplicity 4)
Pd1 0.0000 0.5000 0.2500 (multiplicity 4)

## Properties
Magnetization   0.0 μB/f.u.
Final energy   -28.96 eV per atom
Energy relative to the elements   -567 meV per atom